DFT (PBE) results for crystalline LiMgFe2C at its relaxed geometry. Values from VASP.

Output
Energy above the most stable polymorph in this dataset, meV/atom: 97.3
SG: No. 123
Formation energy from the elements, meV per atom: 124
E_tot, eV for the cell shown: -29.039
Spin magnetization, μB/cell: 2.445
N(E_F), states/eV per cell: 3.1

The structure in Quantum ESPRESSO input format:
```
&SYSTEM
  ibrav = 0, nat = 5, ntyp = 4
/
ATOMIC_SPECIES
Li 6.94 Li.upf
Mg 24.30 Mg.upf
Fe 55.84 Fe.upf
C 12.01 C.upf
CELL_PARAMETERS angstrom
3.7514 0.0000 0.0000
0.0000 3.7514 0.0000
0.0000 0.0000 4.3360
ATOMIC_POSITIONS angstrom
Li 0.0000 0.0000 0.0000
Mg 1.8757 1.8757 0.0000
Fe 0.0000 1.8757 2.1680
Fe 1.8757 0.0000 2.1680
C 1.8757 1.8757 2.1680
```


DFT (PBE) results for crystalline MnSi2Ni at its relaxed geometry. Values from VASP.

Output
SG: No. 123
E_tot, eV for the cell shown: -27.275
Spin magnetization, μB/cell: 0.000
N(E_F), states/eV per cell: 1.9

The structure in Quantum ESPRESSO input format:
```
&SYSTEM
  ibrav = 0, nat = 4, ntyp = 3
/
ATOMIC_SPECIES
Mn 54.94 Mn.upf
Si 28.09 Si.upf
Ni 58.69 Ni.upf
CELL_PARAMETERS angstrom
2.8562 0.0000 0.0000
0.0000 2.8562 0.0000
0.0000 0.0000 5.4248
ATOMIC_POSITIONS angstrom
Mn 0.0000 0.0000 0.0000
Si 1.4281 1.4281 1.2971
Si 1.4281 1.4281 4.1277
Ni 0.0000 0.0000 2.7124
```